# 1
The following is a PBE-GGA calculation of a relaxed structure of Hg6P2BrCl2, from the Alexandria database.

Results
Formation energy without anion corrections: -186 meV/atom
Space-group type: P-1 (2)
Calculated density: 6.7 g/cm3

Cell lengths 5.787, 7.982, 8.765 Å; angles 114.69, 98.83, 99.06 degrees
Positions (direct):
Hg 0.158 0.222 0.370
Hg 0.280 0.756 0.114
Hg 0.288 0.390 0.067
Hg 0.712 0.610 0.933
Hg 0.720 0.244 0.886
Hg 0.842 0.778 0.630
P 0.195 0.054 0.075
P 0.805 0.946 0.925
Br 0.500 0.000 0.500
Cl 0.154 0.429 0.661
Cl 0.846 0.571 0.339

---

# 2
The following is a PBE-GGA calculation of a relaxed structure of HgPBrCl2, from the Alexandria database.

Results
Excess energy over the best structure of this formula in the dataset: 0 meV/atom
Formation energy without anion corrections: 483 meV/atom
Space-group type: P4/mmm (123)
Calculated density: 4.5 g/cm3

Cell lengths 5.037, 5.037, 5.531 Å; angles 90.00, 90.00, 90.00 degrees
Positions (direct):
Hg 0.000 0.000 0.000
P 0.000 0.000 0.500
Br 0.500 0.500 0.500
Cl 0.000 0.500 0.000
Cl 0.500 0.000 0.000

---

# 3
The following is a PBE-GGA calculation of a relaxed structure of HgPb3Br6Cl2, from the Alexandria database.

Results
Formation energy without anion corrections: -827 meV/atom
Space-group type: C2/m (12)
Calculated density: 5.4 g/cm3

Cell lengths 8.595, 8.595, 6.607 Å; angles 92.60, 92.60, 60.81 degrees
Positions (direct):
Hg 0.000 0.000 0.000
Pb 0.000 0.500 0.000
Pb 0.500 0.000 0.000
Pb 0.500 0.500 0.500
Br 0.147 0.147 0.757
Br 0.158 0.672 0.746
Br 0.328 0.842 0.254
Br 0.672 0.158 0.746
Br 0.842 0.328 0.254
Br 0.853 0.853 0.243
Cl 0.331 0.331 0.245
Cl 0.669 0.669 0.755